[1]
Compound: Nb3P6WO24
Source: the Alexandria database
Functional: PBEsol
Structure: relaxed

The formation energy without anion corrections comes out at -2289 meV/atom.

Unit cell a=8.756 b=8.756 c=9.017 alpha=60.95 beta=60.95 gamma=60.00
Fractional coordinates of all 34 atoms:
O1 0.705 0.080 0.278
O2 0.582 0.206 0.777
O3 0.862 0.494 0.915
Nb1 0.858 0.858 0.425
O4 0.776 0.004 0.584
O5 0.937 0.705 0.278
P1 0.251 0.968 0.251
O6 0.228 0.995 0.418
P2 0.465 0.754 0.749
O7 0.636 0.776 0.584
O8 0.494 0.729 0.915
O9 0.926 0.060 0.723
O10 0.137 0.503 0.084
O11 0.729 0.862 0.915
O12 0.424 0.794 0.224
O13 0.206 0.436 0.777
O14 0.794 0.558 0.224
P3 0.754 0.032 0.749
P4 0.968 0.530 0.251
O15 0.995 0.360 0.418
Nb2 0.358 0.358 0.925
O16 0.004 0.636 0.584
P5 0.032 0.465 0.749
O17 0.080 0.937 0.278
O18 0.291 0.926 0.723
W1 0.143 0.143 0.570
O19 0.060 0.291 0.723
P6 0.530 0.251 0.251
Nb3 0.642 0.642 0.073
O20 0.503 0.276 0.084
O21 0.276 0.137 0.084
O22 0.436 0.582 0.777
O23 0.558 0.424 0.224
O24 0.360 0.228 0.418


[2]
Compound: AlTlPb2
Source: the Alexandria database
Functional: PBEsol
Structure: relaxed

For the energy above the most stable polymorph in this dataset, the calculation gives 0 meV/atom. The calculation puts the energy of formation from the pure elements at 0.1206 eV per atom.

Unit cell a=3.465 b=3.465 c=10.496 alpha=80.50 beta=80.50 gamma=60.00
Fractional coordinates of all 4 atoms:
Tl1 0.500 0.500 0.500
Pb1 0.259 0.259 0.222
Pb2 0.741 0.741 0.778
Al1 0.000 0.000 0.000


[3]
Compound: Li3FeNi3O8
Source: the Alexandria database
Functional: PBEsol
Structure: relaxed

For the energy above the most stable polymorph in this dataset, the calculation gives 0 meV/atom. The formation energy without anion corrections comes out at -1307 meV/atom.

Unit cell a=5.602 b=5.709 c=5.690 alpha=119.88 beta=90.00 gamma=119.38
Fractional coordinates of all 15 atoms:
O1 0.270 0.540 0.782
O2 0.231 0.462 0.205
Li1 0.500 0.500 0.500
Ni1 0.000 0.000 0.000
O3 0.756 0.007 0.783
O4 0.769 0.538 0.795
O5 0.749 0.993 0.217
O6 0.730 0.460 0.218
Li2 0.000 0.500 0.500
Ni2 0.000 0.500 0.000
Fe1 0.500 0.000 0.000
O7 0.251 0.007 0.783
Li3 0.000 0.000 0.500
O8 0.244 0.993 0.217
Ni3 0.500 0.500 0.000


[4]
Compound: MgGaSbF2
Source: the Alexandria database
Functional: PBEsol
Structure: relaxed

The formation energy without anion corrections comes out at -1008 meV/atom.

Unit cell a=4.312 b=4.312 c=5.707 alpha=90.00 beta=90.00 gamma=90.00
Fractional coordinates of all 5 atoms:
F1 0.500 0.000 0.000
Sb1 0.000 0.000 0.000
F2 0.000 0.500 0.000
Mg1 0.500 0.500 0.500
Ga1 0.000 0.000 0.500


[5]
Compound: TaAlCd2
Source: the Alexandria database
Functional: PBEsol
Structure: relaxed

The calculation puts the energy of formation from the pure elements at 0.2653 eV per atom.

Unit cell a=2.884 b=5.201 c=5.778 alpha=116.75 beta=104.45 gamma=90.00
Fractional coordinates of all 4 atoms:
Ta1 0.512 0.512 0.024
Cd1 0.750 0.250 0.500
Cd2 0.993 0.993 0.986
Al1 0.245 0.745 0.490


[6]
Compound: MgCdPb
Source: the Alexandria database
Functional: PBEsol
Structure: relaxed

The calculation puts the energy of formation from the pure elements at -0.0276 eV per atom.

Unit cell a=3.340 b=3.340 c=6.915 alpha=103.98 beta=103.98 gamma=90.00
Fractional coordinates of all 3 atoms:
Mg1 0.656 0.656 0.312
Cd1 0.012 0.012 0.023
Pb1 0.332 0.332 0.664


[7]
Compound: CrHgIr2
Source: the Alexandria database
Functional: PBEsol
Structure: relaxed

The calculation puts the energy of formation from the pure elements at 0.3544 eV per atom.

Unit cell a=3.870 b=3.870 c=4.837 alpha=113.58 beta=113.58 gamma=90.00
Fractional coordinates of all 4 atoms:
Cr1 0.500 0.500 0.000
Ir1 0.750 0.250 0.500
Ir2 0.000 0.000 0.000
Hg1 0.250 0.750 0.500


[8]
Compound: Ca2CdSe
Source: the Alexandria database
Functional: PBEsol
Structure: relaxed

For the energy above the most stable polymorph in this dataset, the calculation gives 1 meV/atom. The formation energy without anion corrections comes out at -1000 meV/atom.

Unit cell a=3.961 b=3.961 c=8.616 alpha=76.71 beta=76.71 gamma=60.00
Fractional coordinates of all 4 atoms:
Cd1 0.500 0.500 0.500
Ca1 0.263 0.263 0.212
Se1 0.000 0.000 0.000
Ca2 0.737 0.737 0.788


Number 1: density of states at the Fermi level 0.357 states/eV/atom. Number 2: density of states at the Fermi level 0.433 states/eV/atom. Number 3: density of states at the Fermi level 0.429 states/eV/atom. Number 4: density of states at the Fermi level 0.203 states/eV/atom. Number 5: density of states at the Fermi level 0.564 states/eV/atom. Number 6: density of states at the Fermi level 0.419 states/eV/atom. Number 7: density of states at the Fermi level 1.017 states/eV/atom. Number 8: density of states at the Fermi level 0.821 states/eV/atom.